Mg4Zn after structural relaxation, computed with GGA-PBEsol.

The space group is I4/m (No. 87) and the conventional cell measures 7.8281, 7.8281 and 3.3427 Å, with angles of 90.00, 90.00 and 90.00 degrees. Symmetry generates all atoms from Mg at (0.0838, 0.2791, 0.0000) and Zn at (0.0000, 0.0000, 0.5000).

The size of the total moment is 0.00 μB/f.u. As for the theoretical density: 2.6 Mg/m³. As for the formation energy: -0.009 eV/atom.